VASP calculation (GGA-PBE) on a relaxed CuSb2Ru crystal.

```
8
Lattice="-0.461 0.090 6.130 -0.323 -6.140 0.065 5.023 -3.306 3.509" Properties=species:S:1:pos:R:3 pbc="T T T"
Cu -0.392 -3.025 3.098
Cu 2.154 -6.235 3.336
Sb 0.924 -1.537 4.755
Sb 3.079 -7.811 8.054
Sb 0.999 -4.653 1.647
Sb 3.475 -4.711 4.955
Ru 0.000 0.000 0.000
Ru 2.085 -3.121 6.369
```

**SG**: No. 122
**Formation energy without anion corrections**: 0.36 eV/atom
**Total moment**: 0.0 μB/cell
**E above lowest polymorph**: 320 meV per atom